This record from Alexandria describes crystalline TiMn2PdC at its relaxed geometry. The functional is PBE.

Geometry as POSCAR:
```
TiMn2PdC
1.0
3.845 0.000 0.000
0.000 3.845 0.000
0.000 0.000 4.199
Ti Mn Pd C
1 2 1 1
Direct
0.000 0.000 0.000
0.000 0.500 0.500
0.500 0.000 0.500
0.500 0.500 0.000
0.000 0.000 0.500
```

Computed properties:
size of the total moment = 3.669 μB per formula unit
ΔE_f = -0.25 eV/atom
N(E_F) = 3.96 states/eV per cell